(1)
The following is a DFT calculation (PBE-GGA) of a relaxed Ti3AuC crystal.

Unit cell a=3.980 b=3.980 c=13.688 alpha=90.00 beta=90.00 gamma=120.00
Element x y z (fractional)
Ti (0.000, 0.000, 0.250)
Ti (0.000, 0.000, 0.750)
Ti (0.333, 0.667, 0.056)
Ti (0.333, 0.667, 0.444)
Ti (0.667, 0.333, 0.556)
Ti (0.667, 0.333, 0.944)
Au (0.333, 0.667, 0.250)
Au (0.667, 0.333, 0.750)
C (0.000, 0.000, 0.000)
C (0.000, 0.000, 0.500)

Values from the calculation:
- space-group type = P6_3/mmc (194)
- ΔE to the lowest computed polymorph (meV per atom) = 1203
- E_form (eV/f.u.) = 2.91


(2)
The following is a DFT calculation (PBE-GGA) of a relaxed Pm3Ho2TmTe6 crystal.

Unit cell a=9.884 b=9.884 c=8.896 alpha=104.54 beta=104.54 gamma=25.40
Element x y z (fractional)
Pm (0.000, 0.000, 0.000)
Pm (0.332, 0.332, 0.667)
Pm (0.668, 0.668, 0.333)
Ho (0.332, 0.332, 0.165)
Ho (0.668, 0.668, 0.835)
Tm (0.000, 0.000, 0.500)
Te (0.163, 0.163, 0.589)
Te (0.169, 0.169, 0.077)
Te (0.498, 0.498, 0.259)
Te (0.502, 0.502, 0.741)
Te (0.831, 0.831, 0.923)
Te (0.837, 0.837, 0.411)

Values from the calculation:
- uncorrected formation energy (eV per atom) = -1.319
- space-group type = C2/m (12)


(3)
The following is a DFT calculation (PBE-GGA) of a relaxed Tb2HoAl crystal.

Unit cell a=4.766 b=4.766 c=4.764 alpha=90.00 beta=90.00 gamma=90.00
Element x y z (fractional)
Tb (0.000, 0.500, 0.000)
Tb (0.500, 0.000, 0.000)
Ho (0.000, 0.000, 0.500)
Al (0.500, 0.500, 0.500)

Values from the calculation:
- space-group type = P4/mmm (123)
- ΔE to the lowest computed polymorph (meV per atom) = 12
- E_form (eV/f.u.) = -0.75


(4)
The following is a DFT calculation (PBE-GGA) of a relaxed U4Ga12Re crystal.

Unit cell a=7.438 b=7.438 c=7.438 alpha=109.47 beta=109.47 gamma=109.47
Element x y z (fractional)
U (0.000, 0.000, 0.500)
U (0.000, 0.500, 0.000)
U (0.500, 0.000, 0.000)
U (0.500, 0.500, 0.500)
Ga (0.000, 0.294, 0.294)
Ga (0.000, 0.706, 0.706)
Ga (0.250, 0.500, 0.750)
Ga (0.250, 0.750, 0.500)
Ga (0.294, 0.000, 0.294)
Ga (0.294, 0.294, 0.000)
Ga (0.500, 0.250, 0.750)
Ga (0.500, 0.750, 0.250)
Ga (0.706, 0.000, 0.706)
Ga (0.706, 0.706, 0.000)
Ga (0.750, 0.250, 0.500)
Ga (0.750, 0.500, 0.250)
Re (0.000, 0.000, 0.000)

Values from the calculation:
- space-group type = Im-3m (229)
- E_form (eV/f.u.) = -3.61


(5)
The following is a DFT calculation (PBE-GGA) of a relaxed CrRhW2 crystal.

Unit cell a=3.285 b=4.295 c=8.375 alpha=90.00 beta=90.00 gamma=90.00
Element x y z (fractional)
Cr (0.000, 0.000, 0.000)
Cr (0.500, 0.500, 0.500)
Rh (0.000, 0.000, 0.500)
Rh (0.500, 0.500, 0.000)
W (0.000, 0.500, 0.261)
W (0.000, 0.500, 0.739)
W (0.500, 0.000, 0.239)
W (0.500, 0.000, 0.761)

Values from the calculation:
- space-group type = Immm (71)
- ΔE to the lowest computed polymorph (meV per atom) = 21
- E_form (eV/f.u.) = 0.46


(6)
The following is a DFT calculation (PBE-GGA) of a relaxed SrLaGa3O7 crystal.

Unit cell a=8.123 b=8.123 c=5.393 alpha=90.00 beta=90.00 gamma=90.19
Element x y z (fractional)
Sr (0.162, 0.838, 0.000)
Sr (0.838, 0.162, 0.000)
La (0.336, 0.336, 0.020)
La (0.664, 0.664, 0.020)
Ga (0.000, 0.500, 0.510)
Ga (0.144, 0.144, 0.477)
Ga (0.357, 0.643, 0.543)
Ga (0.500, 0.000, 0.510)
Ga (0.643, 0.357, 0.543)
Ga (0.856, 0.856, 0.477)
O (0.000, 0.000, 0.327)
O (0.093, 0.341, 0.304)
O (0.150, 0.150, 0.813)
O (0.165, 0.583, 0.712)
O (0.341, 0.093, 0.304)
O (0.369, 0.631, 0.205)
O (0.417, 0.835, 0.712)
O (0.500, 0.500, 0.713)
O (0.583, 0.165, 0.712)
O (0.631, 0.369, 0.205)
O (0.659, 0.907, 0.304)
O (0.835, 0.417, 0.712)
O (0.850, 0.850, 0.813)
O (0.907, 0.659, 0.304)

Values from the calculation:
- uncorrected formation energy (eV per atom) = -2.454
- space-group type = Cmm2 (35)


(7)
The following is a DFT calculation (PBE-GGA) of a relaxed RbTi2Sn2 crystal.

Unit cell a=8.855 b=8.855 c=3.064 alpha=90.00 beta=90.00 gamma=90.00
Element x y z (fractional)
Rb (0.000, 0.000, 0.000)
Rb (0.500, 0.500, 0.000)
Ti (0.115, 0.385, 0.000)
Ti (0.385, 0.885, 0.000)
Ti (0.615, 0.115, 0.000)
Ti (0.885, 0.615, 0.000)
Sn (0.169, 0.669, 0.500)
Sn (0.331, 0.169, 0.500)
Sn (0.669, 0.831, 0.500)
Sn (0.831, 0.331, 0.500)

Values from the calculation:
- space-group type = P4/mbm (127)
- ΔE to the lowest computed polymorph (meV per atom) = 0
- E_form (eV/f.u.) = -0.11


(8)
The following is a DFT calculation (PBE-GGA) of a relaxed LiTc2Pb crystal.

Unit cell a=4.480 b=4.492 c=6.359 alpha=90.00 beta=90.00 gamma=90.00
Element x y z (fractional)
Li (0.000, 0.000, 0.000)
Li (0.500, 0.500, 0.500)
Tc (0.000, 0.000, 0.499)
Tc (0.000, 0.500, 0.750)
Tc (0.500, 0.000, 0.250)
Tc (0.500, 0.500, 0.999)
Pb (0.000, 0.500, 0.250)
Pb (0.500, 0.000, 0.750)

Values from the calculation:
- space-group type = Imm2 (44)
- E_form (eV/f.u.) = 1.10


(9)
The following is a DFT calculation (PBE-GGA) of a relaxed LiAcAl crystal.

Unit cell a=7.657 b=10.314 c=5.030 alpha=90.00 beta=90.00 gamma=90.00
Element x y z (fractional)
Li (0.168, 0.000, 0.000)
Li (0.332, 0.500, 0.000)
Li (0.668, 0.500, 0.000)
Li (0.832, 0.000, 0.000)
Ac (0.000, 0.316, 0.500)
Ac (0.000, 0.684, 0.500)
Ac (0.500, 0.184, 0.500)
Ac (0.500, 0.816, 0.500)
Al (0.000, 0.000, 0.500)
Al (0.000, 0.500, 0.000)
Al (0.500, 0.000, 0.000)
Al (0.500, 0.500, 0.500)

Values from the calculation:
- space-group type = Cmmm (65)
- ΔE to the lowest computed polymorph (meV per atom) = 405
- E_form (eV/f.u.) = 0.73


(10)
The following is a DFT calculation (PBE-GGA) of a relaxed PmSi2Pd5Pt crystal.

Unit cell a=4.718 b=4.718 c=6.995 alpha=90.00 beta=90.00 gamma=90.00
Element x y z (fractional)
Pm (0.000, 0.000, 0.000)
Si (0.500, 0.500, 0.341)
Si (0.500, 0.500, 0.659)
Pd (0.000, 0.500, 0.274)
Pd (0.000, 0.500, 0.726)
Pd (0.500, 0.000, 0.274)
Pd (0.500, 0.000, 0.726)
Pd (0.500, 0.500, 0.000)
Pt (0.000, 0.000, 0.500)

Values from the calculation:
- uncorrected formation energy (eV per atom) = -0.486
- space-group type = P4/mmm (123)


(11)
The following is a DFT calculation (PBE-GGA) of a relaxed KAg2Os crystal.

Unit cell a=10.993 b=2.687 c=5.429 alpha=90.00 beta=103.83 gamma=90.00
Element x y z (fractional)
K (0.000, 0.000, 0.000)
K (0.500, 0.500, 0.000)
Ag (0.259, 0.500, 0.155)
Ag (0.481, 0.000, 0.503)
Ag (0.759, 0.000, 0.155)
Ag (0.981, 0.500, 0.503)
Os (0.223, 0.000, 0.613)
Os (0.723, 0.500, 0.613)

Values from the calculation:
- space-group type = Cm (8)
- ΔE to the lowest computed polymorph (meV per atom) = 73
- E_form (eV/f.u.) = 3.21